DFT (GGA-PBE) results for a relaxed YCuAs crystal.

Unit cell a=5.7322 b=5.4612 c=3.5411 alpha=75.77 beta=67.44 gamma=36.79
With the nearest neighbours (Å) after each atom.
Atoms (fractional coordinates):
Y (0.0000, 0.0000, 0.0000)  3 As 2.89-3.10, 3 Cu 2.91-3.08
Cu (0.3073, 0.3073, 0.6927)  2 As 2.48
As (0.6899, 0.6899, 0.3101)  2 Cu 2.48

Values from the calculation:
DOS at the Fermi energy = 0.74 states/eV/atom
Energy of formation from the pure elements = -0.401 eV/atom
Space group = No. 42
Total energy = -5.47 eV/atom